No. 1
The following is a DFT calculation (PBE) of an optimized crystal structure of Cs2SrAlOs.

```
data_Cs2SrAlOs
_chemical_formula_sum 'Cs2 Sr1 Al1 Os1'
_cell_length_a 5.8533
_cell_length_b 6.0766
_cell_length_c 5.8533
_cell_angle_alpha 90.00
_cell_angle_beta 90.00
_cell_angle_gamma 90.00
_space_group_name_H-M_alt 'P 1'
_space_group_IT_number 1
_space_group_name_Hall 'P 1'
loop_
_atom_site_label
_atom_site_fract_x
_atom_site_fract_y
_atom_site_fract_z
Cs1 0.0000 0.0000 0.5000
Cs2 0.5000 0.0000 0.0000
Sr1 0.0000 0.5000 0.0000
Os1 0.0000 0.0000 0.0000
Al1 0.5000 0.5000 0.5000
```

Computed properties:
- D(E_F): 8.6 states/eV/f.u.
- Energy relative to the elements: 1.196 eV per atom

No. 2
The following is a DFT calculation (PBE) of an optimized crystal structure of Ba2LaGa4.

```
data_Ba2LaGa4
_chemical_formula_sum 'Ba4 La2 Ga8'
_cell_length_a 6.4461
_cell_length_b 6.5227
_cell_length_c 10.0213
_cell_angle_alpha 108.99
_cell_angle_beta 93.98
_cell_angle_gamma 90.00
_space_group_name_H-M_alt 'P 1'
_space_group_IT_number 1
_space_group_name_Hall 'P 1'
loop_
_atom_site_label
_atom_site_fract_x
_atom_site_fract_y
_atom_site_fract_z
Ba1 0.1908 0.7834 0.3888
Ba2 0.3092 0.3946 0.6112
Ba3 0.8092 0.2166 0.6112
Ba4 0.6908 0.6054 0.3888
Ga1 0.7790 0.8261 0.1339
Ga2 0.7210 0.6922 0.8661
Ga3 0.2210 0.1739 0.8661
Ga4 0.2790 0.3078 0.1339
Ga5 0.0137 0.1789 0.2801
Ga6 0.4863 0.8988 0.7199
Ga7 0.9863 0.8211 0.7199
Ga8 0.5137 0.1012 0.2801
La1 0.7500 0.2404 0.0000
La2 0.2500 0.7596 0.0000
```

Computed properties:
- D(E_F): 4.5 states/eV/f.u.
- Energy relative to the elements: -0.370 eV per atom